A plane-wave DFT calculation with PBE+U was carried out for an optimized crystal structure of ZnFeO2.

The density of states at the Fermi level is 0.181 states/eV/atom. As for the energy above the most stable polymorph in this dataset: 17.66 kJ per mole of atoms.

Unit cell a=5.806 b=5.806 c=5.806 alpha=32.59 beta=32.59 gamma=32.59
Site moments in Bohr magnetons follow the coordinates.
Fractional coordinates of all 4 atoms:
O 0.125 0.125 0.125  0.04
Zn 0.500 0.500 0.500  0.01
Fe 0.003 0.003 0.003  3.92
O 0.623 0.623 0.623  0.18